Model a:
Entry from Alexandria via LeMat-Bulk: a relaxed TiMnAl6 crystal (PBE).

**Calculated density**: 3.574 Mg/m³
**Magnetization**: 3.51 μB/cell

Unit cell a=5.6053 b=5.6053 c=3.9137 alpha=90.00 beta=90.00 gamma=90.00
Positions (direct):
Ti (0.0000, 0.0000, 0.0000)
Mn (0.5000, 0.5000, 0.0000)
Al (0.0000, 0.5000, 0.0000)
Al (0.2521, 0.2521, 0.5000)
Al (0.2521, 0.7479, 0.5000)
Al (0.5000, 0.0000, 0.0000)
Al (0.7479, 0.2521, 0.5000)
Al (0.7479, 0.7479, 0.5000)

=====

Model b:
Entry from Alexandria via LeMat-Bulk: a relaxed TiMnAl6 crystal (PBE).

**Calculated density**: 3.380 Mg/m³
**Magnetization**: 0.12 μB/cell

Unit cell a=5.4405 b=5.4405 c=5.4405 alpha=108.06 beta=108.06 gamma=108.06
Positions (direct):
Ti (0.0000, 0.0000, 0.0000)
Mn (0.5000, 0.5000, 0.5000)
Al (0.2353, 0.2353, 0.6963)
Al (0.2353, 0.6963, 0.2353)
Al (0.3037, 0.7647, 0.7647)
Al (0.6963, 0.2353, 0.2353)
Al (0.7647, 0.3037, 0.7647)
Al (0.7647, 0.7647, 0.3037)

=====

In order of decreasing stability: model a, model b.

=====

Model a:
Entry from Alexandria via LeMat-Bulk: a relaxed MnAl2Tl crystal (PBE).

**Calculated density**: 6.430 Mg/m³
**Magnetization**: 13.26 μB/cell

Unit cell a=4.1937 b=4.1937 c=18.4012 alpha=90.00 beta=90.00 gamma=90.00
Positions (direct):
Mn (0.0000, 0.0000, 0.0000)
Mn (0.0000, 0.5000, 0.2500)
Mn (0.5000, 0.0000, 0.7500)
Mn (0.5000, 0.5000, 0.5000)
Al (0.2015, 0.2500, 0.1250)
Al (0.2500, 0.7015, 0.3750)
Al (0.2500, 0.7985, 0.8750)
Al (0.2985, 0.2500, 0.6250)
Al (0.7015, 0.7500, 0.6250)
Al (0.7500, 0.2015, 0.8750)
Al (0.7500, 0.2985, 0.3750)
Al (0.7985, 0.7500, 0.1250)
Tl (0.0000, 0.0000, 0.5000)
Tl (0.0000, 0.5000, 0.7500)
Tl (0.5000, 0.0000, 0.2500)
Tl (0.5000, 0.5000, 0.0000)

=====

Model b:
Entry from Alexandria via LeMat-Bulk: a relaxed MnAl2Tl crystal (PBE).

**Calculated density**: 7.169 Mg/m³
**Magnetization**: 2.80 μB/cell

Unit cell a=3.1706 b=4.4622 c=5.1292 alpha=90.00 beta=90.00 gamma=90.00
Positions (direct):
Mn (0.0000, 0.0000, 0.0000)
Al (0.0000, 0.5000, 0.2739)
Al (0.5000, 0.0000, 0.4046)
Tl (0.5000, 0.5000, 0.7804)

=====

Model c:
Entry from Alexandria via LeMat-Bulk: a relaxed MnAl2Tl crystal (PBE).

**Calculated density**: 7.089 Mg/m³
**Magnetization**: 5.52 μB/cell

Unit cell a=8.9751 b=3.0274 c=5.5283 alpha=90.00 beta=102.30 gamma=90.00
Positions (direct):
Mn (0.0000, 0.0000, 0.0000)
Mn (0.5000, 0.5000, 0.0000)
Al (0.2343, 0.5000, 0.1926)
Al (0.2657, 0.0000, 0.8074)
Al (0.7343, 0.0000, 0.1926)
Al (0.7657, 0.5000, 0.8074)
Tl (0.0000, 0.5000, 0.5000)
Tl (0.5000, 0.0000, 0.5000)

=====

In order of decreasing stability: model c, model b, model a.

=====

Model a:
Entry from Alexandria via LeMat-Bulk: a relaxed MnAl2Tl crystal (PBE).

**Calculated density**: 6.999 Mg/m³
**Magnetization**: 7.10 μB/cell

Unit cell a=5.6818 b=8.2743 c=3.1619 alpha=90.00 beta=90.00 gamma=90.00
Positions (direct):
Mn (0.0000, 0.0000, 0.0000)
Mn (0.5000, 0.5000, 0.0000)
Al (0.2500, 0.2500, 0.5000)
Al (0.2500, 0.7500, 0.5000)
Al (0.7500, 0.2500, 0.5000)
Al (0.7500, 0.7500, 0.5000)
Tl (0.0000, 0.5000, 0.0000)
Tl (0.5000, 0.0000, 0.0000)

=====

Model b:
Entry from Alexandria via LeMat-Bulk: a relaxed MnAl2Tl crystal (PBE).

**Calculated density**: 7.760 Mg/m³
**Magnetization**: 0.01 μB/cell

Unit cell a=6.4485 b=6.4485 c=6.4485 alpha=90.00 beta=90.00 gamma=90.00
Positions (direct):
Mn (0.0000, 0.0000, 0.0000)
Mn (0.0000, 0.5000, 0.5000)
Mn (0.5000, 0.0000, 0.5000)
Mn (0.5000, 0.5000, 0.0000)
Al (0.2500, 0.2500, 0.2500)
Al (0.2500, 0.2500, 0.7500)
Al (0.2500, 0.7500, 0.2500)
Al (0.2500, 0.7500, 0.7500)
Al (0.7500, 0.2500, 0.2500)
Al (0.7500, 0.2500, 0.7500)
Al (0.7500, 0.7500, 0.2500)
Al (0.7500, 0.7500, 0.7500)
Tl (0.0000, 0.0000, 0.5000)
Tl (0.0000, 0.5000, 0.0000)
Tl (0.5000, 0.0000, 0.0000)
Tl (0.5000, 0.5000, 0.5000)

=====

Model c:
Entry from Alexandria via LeMat-Bulk: a relaxed MnAl2Tl crystal (PBE).

**Calculated density**: 6.966 Mg/m³
**Magnetization**: 6.03 μB/cell

Unit cell a=9.0995 b=3.0179 c=5.5895 alpha=90.00 beta=103.33 gamma=90.00
Positions (direct):
Mn (0.0000, 0.0000, 0.0000)
Mn (0.5000, 0.5000, 0.0000)
Al (0.2361, 0.5000, 0.1482)
Al (0.4868, 0.0000, 0.3853)
Al (0.7361, 0.0000, 0.1482)
Al (0.9868, 0.5000, 0.3853)
Tl (0.2517, 0.0000, 0.6794)
Tl (0.7517, 0.5000, 0.6794)

=====

Model d:
Entry from Alexandria via LeMat-Bulk: a relaxed MnAl2Tl crystal (PBE).

**Calculated density**: 6.788 Mg/m³
**Magnetization**: 14.15 μB/cell

Unit cell a=6.7426 b=6.7426 c=6.7426 alpha=90.00 beta=90.00 gamma=90.00
Positions (direct):
Mn (0.0000, 0.0000, 0.0000)
Mn (0.0000, 0.5000, 0.5000)
Mn (0.5000, 0.0000, 0.5000)
Mn (0.5000, 0.5000, 0.0000)
Al (0.0000, 0.0000, 0.5000)
Al (0.0000, 0.5000, 0.0000)
Al (0.2500, 0.2500, 0.7500)
Al (0.2500, 0.7500, 0.2500)
Al (0.5000, 0.0000, 0.0000)
Al (0.5000, 0.5000, 0.5000)
Al (0.7500, 0.2500, 0.2500)
Al (0.7500, 0.7500, 0.7500)
Tl (0.2500, 0.2500, 0.2500)
Tl (0.2500, 0.7500, 0.7500)
Tl (0.7500, 0.2500, 0.7500)
Tl (0.7500, 0.7500, 0.2500)

=====

In order of decreasing stability: model c, model a, model d, model b.

=====

Model a:
Entry from Alexandria via LeMat-Bulk: a relaxed MnAl2Tl crystal (PBE).

**Calculated density**: 7.063 Mg/m³
**Magnetization**: 3.04 μB/cell

Unit cell a=2.9534 b=2.9534 c=8.4439 alpha=90.00 beta=90.00 gamma=90.00
Positions (direct):
Mn (0.0000, 0.0000, 0.0000)
Al (0.0000, 0.0000, 0.5735)
Al (0.5000, 0.5000, 0.8112)
Tl (0.5000, 0.5000, 0.2649)

=====

Model b:
Entry from Alexandria via LeMat-Bulk: a relaxed MnAl2Tl crystal (PBE).

**Calculated density**: 7.072 Mg/m³
**Magnetization**: 5.78 μB/cell

Unit cell a=2.9263 b=4.8307 c=10.4074 alpha=90.00 beta=90.00 gamma=90.00
Positions (direct):
Mn (0.0000, 0.0000, 0.0000)
Mn (0.5000, 0.5000, 0.5000)
Al (0.0000, 0.5000, 0.2882)
Al (0.0000, 0.5000, 0.7118)
Al (0.5000, 0.0000, 0.2118)
Al (0.5000, 0.0000, 0.7882)
Tl (0.0000, 0.0000, 0.5000)
Tl (0.5000, 0.5000, 0.0000)

=====

In order of decreasing stability: model a, model b.

=====

Model a:
Entry from Alexandria via LeMat-Bulk: a relaxed MnAl2Tl2 crystal (PBE).

**Calculated density**: 7.832 Mg/m³
**Magnetization**: 7.05 μB/cell

Unit cell a=6.9519 b=6.9519 c=4.5422 alpha=90.00 beta=90.00 gamma=90.00
Positions (direct):
Mn (0.0000, 0.0000, 0.0000)
Mn (0.5000, 0.5000, 0.0000)
Al (0.1375, 0.3625, 0.0000)
Al (0.3625, 0.8625, 0.0000)
Al (0.6375, 0.1375, 0.0000)
Al (0.8625, 0.6375, 0.0000)
Tl (0.1774, 0.6774, 0.5000)
Tl (0.3226, 0.1774, 0.5000)
Tl (0.6774, 0.8226, 0.5000)
Tl (0.8226, 0.3226, 0.5000)

=====

Model b:
Entry from Alexandria via LeMat-Bulk: a relaxed MnAl2Tl2 crystal (PBE).

**Calculated density**: 7.442 Mg/m³
**Magnetization**: 0.15 μB/cell

Unit cell a=4.0232 b=4.0232 c=14.2731 alpha=90.00 beta=90.00 gamma=90.00
Positions (direct):
Mn (0.0000, 0.0000, 0.0000)
Mn (0.5000, 0.5000, 0.5000)
Al (0.0000, 0.0000, 0.4142)
Al (0.0000, 0.0000, 0.5858)
Al (0.5000, 0.5000, 0.0858)
Al (0.5000, 0.5000, 0.9142)
Tl (0.0000, 0.5000, 0.2500)
Tl (0.0000, 0.5000, 0.7500)
Tl (0.5000, 0.0000, 0.2500)
Tl (0.5000, 0.0000, 0.7500)

=====

In order of decreasing stability: model a, model b.

=====

Model a:
Entry from Alexandria via LeMat-Bulk: a relaxed Mn3AlTl crystal (PBE).

**Calculated density**: 5.018 Mg/m³
**Magnetization**: 12.10 μB/cell

Unit cell a=5.0800 b=5.0800 c=5.0800 alpha=90.00 beta=90.00 gamma=90.00
Positions (direct):
Mn (0.0000, 0.0000, 0.5000)
Mn (0.0000, 0.5000, 0.0000)
Mn (0.5000, 0.0000, 0.0000)
Al (0.5000, 0.5000, 0.5000)
Tl (0.0000, 0.0000, 0.0000)

=====

Model b:
Entry from Alexandria via LeMat-Bulk: a relaxed Mn3AlTl crystal (PBE).

**Calculated density**: 6.566 Mg/m³
**Magnetization**: 10.51 μB/cell

Unit cell a=4.6445 b=4.6445 c=4.6445 alpha=90.00 beta=90.00 gamma=90.00
Positions (direct):
Mn (0.0000, 0.0000, 0.5000)
Mn (0.0000, 0.5000, 0.0000)
Mn (0.5000, 0.0000, 0.0000)
Al (0.0000, 0.0000, 0.0000)
Tl (0.5000, 0.5000, 0.5000)

=====

In order of decreasing stability: model b, model a.